VASP calculation (GGA-PBE) on a relaxed SmEuMgPb crystal.

Geometry as CIF:
```
data_SmEuMgPb
_chemical_formula_sum 'Sm1 Eu1 Mg1 Pb1'
_symmetry_space_group_name_H-M 'P 1'
_symmetry_Int_Tables_number 1
_cell_length_a 5.5320
_cell_length_b 5.5320
_cell_length_c 5.5320
_cell_angle_alpha 60.00
_cell_angle_beta 60.00
_cell_angle_gamma 60.00
loop_
_symmetry_equiv_pos_as_xyz
'x,y,z'
loop_
_atom_site_label
_atom_site_type_symbol
_atom_site_fract_x
_atom_site_fract_y
_atom_site_fract_z
Eu1 Eu 0.2500 0.2500 0.2500
Pb1 Pb 0.5000 0.5000 0.5000
Sm1 Sm 0.7500 0.7500 0.7500
Mg1 Mg 0.0000 0.0000 0.0000
```

Computed properties:
E_form, eV per atom: -0.32
DOS(E_F), states/eV per atom: 0.74
Calculated density, g cm⁻³: 7.40
Space-group type: F-43m, No. 216